# 1
Computed, not measured: crystalline NbOsWN2 at its relaxed geometry at the PBE level of DFT.

Computed properties:
Uncorrected formation energy   1.4952 eV/atom
Magnetization   0.85 μB/cell

The structure in POSCAR format:
```
NbOsWN2
1.0
-0.354 3.530 1.246
-5.542 -0.965 1.158
0.921 -1.131 3.466
W N Os Nb
1 2 1 1
direct
0.500 0.500 0.500
0.000 0.000 0.500
0.500 0.000 0.000
0.000 0.000 0.000
0.000 0.500 0.000
```

# 2
Computed, not measured: crystalline CaMn2Os at its relaxed geometry at the PBE level of DFT.

Computed properties:
Calculated formation energy   0.5264 eV/atom
Relative energy among the computed polymorphs   19.96 kJ per mole of atoms
Magnetization   5.93 μB/cell

The structure in POSCAR format:
```
CaMn2Os
1.0
4.285 0.000 0.000
0.000 2.856 -0.004
0.000 1.432 5.706
Os Mn Ca
1 2 1
direct
0.000 0.488 0.400
0.500 0.042 0.290
0.000 0.165 0.044
0.500 0.805 0.766
```

# 3
Computed, not measured: crystalline Mg2Tc3MoN6 at its relaxed geometry at the PBE level of DFT.

Computed properties:
Uncorrected formation energy   -0.2121 eV/atom
Magnetization   1.10 μB/cell

The structure in POSCAR format:
```
Mg2Tc3MoN6
1.0
5.354 0.007 0.011
-2.669 4.641 0.011
-0.883 -1.529 4.815
N Mg Tc Mo
6 2 3 1
direct
0.083 0.426 0.266
0.917 0.574 0.734
0.269 0.269 0.765
0.426 0.083 0.266
0.574 0.917 0.734
0.731 0.731 0.235
0.327 0.673 0.000
0.673 0.327 0.000
0.500 0.500 0.500
0.140 0.860 0.500
0.860 0.140 0.500
0.000 0.000 0.000
```

# 4
Computed, not measured: crystalline TiNiS2N at its relaxed geometry at the PBE level of DFT.

Computed properties:
Uncorrected formation energy   0.2565 eV/atom
Relative energy among the computed polymorphs   0.00 kJ per mole of atoms
Magnetization   0.87 μB/cell

The structure in POSCAR format:
```
TiNiS2N
1.0
-4.535 0.561 0.302
0.195 -0.844 4.497
0.456 3.362 0.612
N S Ni Ti
1 2 1 1
direct
0.000 0.000 0.500
0.500 0.000 0.000
0.000 0.500 0.000
0.000 0.000 0.000
0.500 0.500 0.500
```

# 5
Computed, not measured: crystalline Nb2Co3Ir3 at its relaxed geometry at the PBE level of DFT.

Computed properties:
Calculated formation energy   -0.3726 eV/atom
Magnetization   0.00 μB/cell

The structure in POSCAR format:
```
Nb2Co3Ir3
1.0
3.795 0.000 0.000
0.000 3.822 0.000
0.000 0.000 7.581
Co Nb Ir
3 2 3
direct
0.000 0.500 0.500
0.500 0.000 0.500
0.000 0.500 0.000
0.000 0.000 0.742
0.000 0.000 0.258
0.500 0.500 0.743
0.500 0.000 0.000
0.500 0.500 0.257
```

# 6
Computed, not measured: crystalline YTi3Al at its relaxed geometry at the PBE level of DFT.

Computed properties:
Calculated formation energy   0.5822 eV/atom
Relative energy among the computed polymorphs   0.00 kJ per mole of atoms
Magnetization   2.53 μB/cell

The structure in POSCAR format:
```
YTi3Al
1.0
-3.655 1.960 2.528
-2.993 -3.450 -1.654
1.129 -2.803 3.804
Ti Al Y
3 1 1
direct
0.000 0.500 0.000
0.500 0.000 0.000
0.000 0.000 0.500
0.000 0.000 0.000
0.500 0.500 0.500
```

# 7
Computed, not measured: crystalline NaLuZnGa at its relaxed geometry at the PBE level of DFT.

Computed properties:
Calculated formation energy   -0.1664 eV/atom
Magnetization   0.00 μB/cell

The structure in POSCAR format:
```
NaLuZnGa
1.0
4.922 0.000 0.000
2.461 4.263 0.000
2.461 1.421 4.019
Zn Na Ga Lu
1 1 1 1
direct
0.750 0.750 0.750
0.000 0.000 0.000
0.250 0.250 0.250
0.500 0.500 0.500
```

# 8
Computed, not measured: crystalline KSr2LiIr at its relaxed geometry at the PBE level of DFT.

Computed properties:
Calculated formation energy   0.0704 eV/atom
Relative energy among the computed polymorphs   0.00 kJ per mole of atoms
Magnetization   0.19 μB/cell

The structure in POSCAR format:
```
KSr2LiIr
1.0
-2.053 5.483 -0.421
-1.199 -0.885 -5.678
-4.955 -1.754 1.319
Sr Ir Li K
2 1 1 1
direct
0.500 0.000 0.000
0.000 0.500 0.000
0.000 0.000 0.000
0.000 0.000 0.500
0.500 0.500 0.500
```

# 9
Computed, not measured: crystalline Pm3Si8Ir3 at its relaxed geometry at the PBE level of DFT.

Computed properties:
Uncorrected formation energy   -0.5740 eV/atom
Magnetization   0.00 μB/cell

The structure in POSCAR format:
```
Pm3Si8Ir3
1.0
4.232 0.000 0.000
2.116 7.588 -0.298
2.116 1.779 7.383
Si Ir Pm
8 3 3
direct
0.625 0.087 0.662
0.375 0.338 0.913
0.834 0.534 0.798
0.375 0.913 0.338
0.166 0.202 0.466
0.834 0.798 0.534
0.166 0.466 0.202
0.625 0.662 0.087
0.000 0.779 0.221
0.500 0.000 0.000
0.000 0.221 0.779
0.808 0.192 0.192
0.192 0.808 0.808
0.500 0.500 0.500
```

# 10
Computed, not measured: crystalline Ho3Nb at its relaxed geometry at the PBE level of DFT.

Computed properties:
Calculated formation energy   0.2453 eV/atom
Relative energy among the computed polymorphs   0.49 kJ per mole of atoms
Magnetization   0.00 μB/cell

The structure in POSCAR format:
```
Ho3Nb
1.0
-1.592 -1.540 -2.546
0.143 -5.089 2.989
-4.022 4.503 2.029
Ho Nb
3 1
direct
0.500 0.477 0.000
0.266 0.606 0.531
0.734 0.075 0.469
0.000 0.008 0.000
```

# 11
Computed, not measured: crystalline AcSc2AlPt4 at its relaxed geometry at the PBE level of DFT.

Computed properties:
Calculated formation energy   -1.1551 eV/atom
Magnetization   0.00 μB/cell

The structure in POSCAR format:
```
AcSc2AlPt4
1.0
-1.093 4.051 -1.659
-3.292 2.413 1.924
4.686 6.096 5.662
Pt Ac Sc Al
4 1 2 1
direct
0.137 0.137 0.590
0.863 0.863 0.410
0.404 0.404 0.787
0.596 0.596 0.213
0.000 0.000 0.000
0.235 0.235 0.295
0.765 0.765 0.705
0.500 0.500 0.500
```

# 12
Computed, not measured: crystalline Mg2SbPd9 at its relaxed geometry at the PBE level of DFT.

Computed properties:
Uncorrected formation energy   -0.4605 eV/atom
Magnetization   0.00 μB/cell

The structure in POSCAR format:
```
Mg2SbPd9
1.0
-2.518 -3.099 -0.032
1.055 -0.818 -3.764
8.760 -7.158 4.011
Sb Mg Pd
1 2 9
direct
0.000 0.000 0.000
0.000 0.000 0.337
0.000 0.000 0.663
0.000 0.500 0.169
0.500 0.000 0.169
0.000 0.500 0.831
0.500 0.500 0.666
0.500 0.000 0.500
0.000 0.500 0.500
0.500 0.500 0.000
0.500 0.500 0.334
0.500 0.000 0.831
```

# 13
Computed, not measured: crystalline Rb2CeSnS5 at its relaxed geometry at the PBE level of DFT.

Computed properties:
Uncorrected formation energy   -1.1425 eV/atom
Magnetization   0.00 μB/cell

The structure in POSCAR format:
```
Rb2CeSnS5
1.0
-2.372 -1.576 -2.979
-5.534 -1.686 8.150
-6.400 12.828 -1.691
S Sn Ce Rb
10 2 2 4
direct
0.501 0.002 0.786
0.664 0.327 0.505
0.701 0.401 0.152
0.336 0.673 0.005
0.686 0.371 0.897
0.314 0.629 0.397
0.052 0.104 0.027
0.299 0.599 0.652
0.499 0.998 0.286
0.948 0.896 0.527
0.438 0.876 0.424
0.562 0.124 0.924
0.211 0.421 0.034
0.789 0.579 0.534
0.133 0.267 0.326
0.115 0.231 0.674
0.867 0.733 0.826
0.885 0.769 0.174
```

# 14
Computed, not measured: crystalline HfRhN2O at its relaxed geometry at the PBE level of DFT.

Computed properties:
Uncorrected formation energy   0.2364 eV/atom
Magnetization   2.34 μB/cell

The structure in POSCAR format:
```
HfRhN2O
1.0
4.192 0.000 0.000
0.000 4.192 0.000
0.000 0.000 3.986
O Rh Hf N
1 1 1 2
direct
0.000 0.000 0.500
0.500 0.500 0.500
0.000 0.000 0.000
0.000 0.500 0.000
0.500 0.000 0.000
```

# 15
Computed, not measured: crystalline Hf5PtS at its relaxed geometry at the PBE level of DFT.

Computed properties:
Uncorrected formation energy   -0.5418 eV/atom
Magnetization   0.00 μB/cell

The structure in POSCAR format:
```
Hf5PtS
1.0
-0.045 -3.837 4.593
5.119 -1.461 2.736
0.620 5.229 8.417
Hf S Pt
10 2 2
direct
0.772 0.481 0.477
0.064 0.391 0.853
0.519 0.228 0.023
0.481 0.772 0.977
0.942 0.058 0.250
0.058 0.942 0.750
0.391 0.064 0.353
0.936 0.609 0.147
0.609 0.936 0.647
0.228 0.519 0.523
0.000 0.000 0.000
0.000 0.000 0.500
0.473 0.527 0.250
0.527 0.473 0.750
```

# 16
Computed, not measured: crystalline TmTeF at its relaxed geometry at the PBE level of DFT.

Computed properties:
Uncorrected formation energy   -2.5070 eV/atom
Relative energy among the computed polymorphs   4.11 kJ per mole of atoms
Magnetization   0.00 μB/cell

The structure in POSCAR format:
```
TmTeF
1.0
-1.066 1.767 -3.773
3.126 -1.906 -1.776
-3.643 -1.803 0.185
Te F Tm
1 1 1
direct
0.667 0.333 0.667
0.167 0.000 0.000
0.167 0.667 0.333
```

# 17
Computed, not measured: crystalline PmErGaIr at its relaxed geometry at the PBE level of DFT.

Computed properties:
Calculated formation energy   -0.6194 eV/atom
Relative energy among the computed polymorphs   8.45 kJ per mole of atoms
Magnetization   0.00 μB/cell

The structure in POSCAR format:
```
PmErGaIr
1.0
5.003 0.000 0.000
2.501 4.333 0.000
2.501 1.444 4.085
Er Pm Ir Ga
1 1 1 1
direct
0.000 0.000 0.000
0.500 0.500 0.500
0.750 0.750 0.750
0.250 0.250 0.250
```

# 18
Computed, not measured: crystalline ZnCd3Fe at its relaxed geometry at the PBE level of DFT.

Computed properties:
Calculated formation energy   0.6324 eV/atom
Relative energy among the computed polymorphs   0.00 kJ per mole of atoms
Magnetization   2.31 μB/cell

The structure in POSCAR format:
```
ZnCd3Fe
1.0
-4.597 1.482 -1.590
-0.498 -4.338 -2.605
-2.115 -2.200 4.067
Zn Cd Fe
1 3 1
direct
0.500 0.500 0.500
0.000 0.000 0.500
0.000 0.500 0.000
0.500 0.000 0.000
0.000 0.000 0.000
```

# 19
Computed, not measured: crystalline Th3NiB2N6 at its relaxed geometry at the PBE level of DFT.

Computed properties:
Uncorrected formation energy   -0.9302 eV/atom
Magnetization   0.24 μB/cell

The structure in POSCAR format:
```
Th3NiB2N6
1.0
-5.180 0.669 -1.046
1.573 -3.886 3.286
-0.478 3.946 4.897
N Th Ni B
6 3 1 2
direct
0.824 0.176 0.716
0.176 0.824 0.284
0.647 0.824 0.284
0.353 0.176 0.716
0.176 0.353 0.284
0.824 0.647 0.716
0.333 0.667 0.661
0.667 0.333 0.339
0.000 0.000 0.000
0.000 0.000 0.500
0.333 0.667 0.244
0.667 0.333 0.756
```

# 20
Computed, not measured: crystalline PmZn2CdAu2 at its relaxed geometry at the PBE level of DFT.

Computed properties:
Calculated formation energy   -0.4678 eV/atom
Magnetization   0.00 μB/cell

The structure in POSCAR format:
```
PmZn2CdAu2
1.0
-1.326 -3.939 1.912
4.386 1.281 0.208
-1.215 3.219 5.787
Zn Cd Pm Au
2 1 1 2
direct
0.667 0.333 0.710
0.333 0.667 0.290
0.000 0.000 0.500
0.000 0.000 0.000
0.667 0.333 0.265
0.333 0.667 0.735
```

# 21
Computed, not measured: crystalline Cs6HgPdAu2 at its relaxed geometry at the PBE level of DFT.

Computed properties:
Calculated formation energy   -0.1258 eV/atom
Magnetization   0.00 μB/cell

The structure in POSCAR format:
```
Cs6HgPdAu2
1.0
9.201 0.008 0.000
4.607 7.963 -0.002
4.604 2.655 8.012
Au Cs Pd Hg
2 6 1 1
direct
0.974 0.974 0.078
0.504 0.503 0.489
0.932 0.551 0.236
0.114 0.384 0.763
0.282 0.932 0.236
0.550 0.283 0.235
0.739 0.114 0.763
0.384 0.738 0.763
0.336 0.336 0.992
0.847 0.847 0.459
```

# 22
Computed, not measured: crystalline ZrTa2Al at its relaxed geometry at the PBE level of DFT.

Computed properties:
Calculated formation energy   -0.0731 eV/atom
Magnetization   0.00 μB/cell

The structure in POSCAR format:
```
ZrTa2Al
1.0
-2.692 1.957 -4.306
1.536 -1.885 -4.869
-1.576 -1.916 4.844
Ta Zr Al
2 1 1
direct
0.498 0.498 0.000
0.002 0.002 0.000
0.750 0.250 0.500
0.250 0.750 0.500
```

# 23
Computed, not measured: crystalline PPbSe3 at its relaxed geometry at the PBE level of DFT.

Computed properties:
Uncorrected formation energy   1.1144 eV/atom
Relative energy among the computed polymorphs   138.51 kJ per mole of atoms
Magnetization   0.00 μB/cell

The structure in POSCAR format:
```
PPbSe3
1.0
5.387 0.000 0.000
0.000 5.387 0.000
0.000 0.000 5.387
Se P Pb
3 1 1
direct
0.500 0.000 0.000
0.000 0.500 0.000
0.000 0.000 0.500
0.500 0.500 0.500
0.000 0.000 0.000
```

# 24
Computed, not measured: crystalline Sc10Bi4C3 at its relaxed geometry at the PBE level of DFT.

Computed properties:
Calculated formation energy   -0.6735 eV/atom
Magnetization   0.00 μB/cell

The structure in POSCAR format:
```
Sc10Bi4C3
1.0
4.515 0.000 -0.613
-0.083 4.514 -0.613
0.015 0.016 17.044
C Bi Sc
3 4 10
direct
0.000 0.000 0.000
0.137 0.137 0.275
0.863 0.863 0.725
0.568 0.568 0.137
0.296 0.296 0.593
0.704 0.704 0.407
0.432 0.432 0.863
0.068 0.068 0.137
0.000 0.500 0.000
0.932 0.932 0.863
0.137 0.637 0.273
0.363 0.863 0.727
0.500 0.000 0.000
0.637 0.137 0.273
0.863 0.363 0.727
0.796 0.796 0.593
0.204 0.204 0.407
```

# 25
Computed, not measured: crystalline Er3Tc2Ge4 at its relaxed geometry at the PBE level of DFT.

Computed properties:
Calculated formation energy   -0.6331 eV/atom
Magnetization   0.00 μB/cell

The structure in POSCAR format:
```
Er3Tc2Ge4
1.0
-0.082 2.869 -3.276
-4.692 -3.411 0.025
-1.069 6.105 5.373
Ge Tc Er
4 2 3
direct
0.092 0.183 0.409
0.908 0.817 0.591
0.292 0.585 0.925
0.708 0.415 0.075
0.323 0.646 0.646
0.677 0.354 0.354
0.371 0.742 0.304
0.629 0.258 0.696
0.000 0.000 0.000
```